Material: MgCr2As
Method: DFT, PBE
State: relaxed

Cell lengths 4.0115, 3.0720, 5.5842 Å; angles 73.91, 90.00, 90.00 degrees
Closest atoms and distances in Å follow each position.
Fractional positions:
As (0.5000, 0.9357, 0.7526)  4 Cr 2.53-2.74, 4 Mg 2.79
Cr (0.0000, 0.7933, 0.0408)  2 As 2.53, 4 Cr 2.62-2.63, 1 Mg 2.64
Cr (0.5000, 0.2257, 0.1741)  4 Cr 2.62-2.63, 2 As 2.73-2.74
Mg (0.0000, 0.5453, 0.5325)  1 Cr 2.64, 4 As 2.79

ρ, Mg/m³: 5.10
Energy above the most stable polymorph in this dataset, eV/atom: 0.034
Magnetization, Bohr magnetons per cell: 0.284
SG: Pm (6)
Energy of formation, meV per atom: 148
Calculated total energy, eV per formula unit: -24.90

---

Material: MgCr2As
Method: DFT, PBE
State: relaxed

Cell lengths 4.8205, 4.8205, 4.8205 Å; angles 132.31, 132.31, 69.74 degrees
Closest atoms and distances in Å follow each position.
Fractional positions:
As (0.7500, 0.2500, 0.5000)  4 Mg 2.76, 8 Cr 2.78
Cr (0.0000, 0.0000, 0.0000)  4 Cr 2.76, 4 As 2.78, 4 Mg 2.78
Cr (0.5000, 0.5000, 0.0000)  4 Cr 2.76, 4 Mg 2.78, 4 As 2.78
Mg (0.2500, 0.7500, 0.5000)  4 As 2.76, 8 Cr 2.78

ρ, Mg/m³: 5.62
Energy above the most stable polymorph in this dataset, eV/atom: 0.199
Magnetization, Bohr magnetons per cell: 4.977
SG: I4/mmm (139)
Energy of formation, meV per atom: 314
Calculated total energy, eV per formula unit: -24.24

---

Material: MgCrAs2
Method: DFT, PBE
State: relaxed

Cell lengths 4.5781, 4.5781, 3.4418 Å; angles 90.20, 90.20, 100.67 degrees
Closest atoms and distances in Å follow each position.
Fractional positions:
As (0.0000, 0.0000, 0.0000)  4 Mg 2.86-2.87, 4 Cr 2.86-2.87, 2 As 2.92
As (0.5000, 0.5000, 0.0000)  4 Cr 2.86-2.87, 4 Mg 2.86-2.87, 2 As 2.92
Cr (0.5000, 0.0000, 0.5000)  8 As 2.86-2.87, 2 Mg 2.92
Mg (0.0000, 0.5000, 0.5000)  8 As 2.86-2.87, 2 Cr 2.92

ρ, Mg/m³: 5.30
Magnetization, Bohr magnetons per cell: 3.479
SG: C2/m (12)
Energy of formation, meV per atom: -33
Calculated total energy, eV per formula unit: -20.65